1.
Computed, not measured: a relaxed structure of Pm5DyMg4 at the PBE-GGA level of DFT.

Unit cell a=3.8088 b=3.8088 c=20.4976 alpha=90.00 beta=90.00 gamma=90.00
Space group P4/mmm (No. 123)
One atom of each set of equivalent atoms:
Pm  0.0000  0.0000  0.0000 [1 per cell]
Pm  0.0000  0.0000  0.1913 [2 per cell]
Pm  0.0000  0.0000  0.3836 [2 per cell]
Dy  0.5000  0.5000  0.5000 [1 per cell]
Mg  0.5000  0.5000  0.0961 [2 per cell]
Mg  0.5000  0.5000  0.2876 [2 per cell]

Values from the calculation:
* Fermi-level density of states: 11.05 states/eV/f.u.
* DFT total energy: -3.5476 eV/atom
* ΔH_f (0 K): -0.074 eV/atom

=====

2.
Computed, not measured: a relaxed structure of PmDy3Mg4 at the PBE-GGA level of DFT.

Unit cell a=5.3840 b=5.3840 c=7.6044 alpha=90.00 beta=90.00 gamma=90.00
Space group P4/mmm (No. 123)
One atom of each set of equivalent atoms:
Pm  0.0000  0.0000  0.0000 [1 per cell]
Dy  0.0000  0.0000  0.5000 [1 per cell]
Dy  0.5000  0.5000  0.0000 [1 per cell]
Dy  0.5000  0.5000  0.5000 [1 per cell]
Mg  0.0000  0.5000  0.2526 [4 per cell]

Values from the calculation:
* Fermi-level density of states: 9.56 states/eV/f.u.
* DFT total energy: -3.2042 eV/atom
* ΔH_f (0 K): -0.087 eV/atom

=====

Question: What is the formula in the first record?
Answer: Pm5DyMg4

=====

Repeat the first record exactly.
Computed, not measured: a relaxed structure of Pm5DyMg4 at the PBE-GGA level of DFT.

Unit cell a=3.8088 b=3.8088 c=20.4976 alpha=90.00 beta=90.00 gamma=90.00
Space group P4/mmm (No. 123)
One atom of each set of equivalent atoms:
Pm  0.0000  0.0000  0.0000 [1 per cell]
Pm  0.0000  0.0000  0.1913 [2 per cell]
Pm  0.0000  0.0000  0.3836 [2 per cell]
Dy  0.5000  0.5000  0.5000 [1 per cell]
Mg  0.5000  0.5000  0.0961 [2 per cell]
Mg  0.5000  0.5000  0.2876 [2 per cell]

Values from the calculation:
* Fermi-level density of states: 11.05 states/eV/f.u.
* DFT total energy: -3.5476 eV/atom
* ΔH_f (0 K): -0.074 eV/atom

=====

Question: Among the records above, which one has the highest Fermi-level density of states?
Answer: Pm5DyMg4